(1)
DFT (PBE) results for Sm2Y4TmMg after structural relaxation.

Unit cell a=4.993 b=4.993 c=10.069 alpha=90.00 beta=90.00 gamma=90.00
Space group P4/mmm (No. 123)
One atom of each set of equivalent atoms:
Sm  0.000  0.000  0.000 [1 per cell]
Sm  0.500  0.500  0.500 [1 per cell]
Y  0.000  0.500  0.249 [4 per cell]
Tm  0.000  0.000  0.500 [1 per cell]
Mg  0.500  0.500  0.000 [1 per cell]

## Properties
- ΔE_f (eV/atom) = 0.027
- volume (Å³/atom) = 31.383
- mass density (Mg/m³) = 5.619

(2)
DFT (PBE) results for Sm4Y2TmMg after structural relaxation.

Unit cell a=5.030 b=5.023 c=10.010 alpha=90.00 beta=90.04 gamma=90.00
Space group P2/m (No. 10)
One atom of each set of equivalent atoms:
Sm  0.000  0.000  0.248 [2 per cell]
Sm  0.500  0.500  0.248 [2 per cell]
Y  0.000  0.500  0.000 [1 per cell]
Y  0.500  0.000  0.500 [1 per cell]
Tm  0.000  0.500  0.500 [1 per cell]
Mg  0.500  0.000  0.000 [1 per cell]

## Properties
- ΔE_f (eV/atom) = 0.014
- volume (Å³/atom) = 31.613
- mass density (Mg/m³) = 6.385

(3)
DFT (PBE) results for Sm2YTm2Mg5 after structural relaxation.

Unit cell a=10.582 b=10.582 c=5.054 alpha=90.00 beta=90.00 gamma=90.00
Space group P4/mbm (No. 127)
One atom of each set of equivalent atoms:
Sm  0.178  0.322  0.000 [4 per cell]
Y  0.000  0.000  0.000 [2 per cell]
Tm  0.119  0.619  0.000 [4 per cell]
Mg  0.000  0.500  0.500 [2 per cell]
Mg  0.070  0.801  0.500 [8 per cell]

## Properties
- ΔE_f (eV/atom) = 0.038
- volume (Å³/atom) = 28.293
- mass density (Mg/m³) = 4.983

(4)
DFT (PBE) results for SmTmMgZr after structural relaxation.

Unit cell a=7.577 b=7.577 c=7.577 alpha=90.00 beta=90.00 gamma=90.00
Space group F-43m (No. 216)
One atom of each set of equivalent atoms:
Sm  0.000  0.000  0.000 [4 per cell]
Tm  0.000  0.000  0.500 [4 per cell]
Mg  0.250  0.250  0.250 [4 per cell]
Zr  0.250  0.250  0.750 [4 per cell]

## Properties
- ΔE_f (eV/atom) = 0.135
- volume (Å³/atom) = 27.193
- mass density (Mg/m³) = 6.638

(5)
DFT (PBE) results for Sm2MgV after structural relaxation.

Unit cell a=3.676 b=3.676 c=7.904 alpha=90.00 beta=90.00 gamma=90.00
Space group P4/mmm (No. 123)
One atom of each set of equivalent atoms:
Sm  0.000  0.000  0.223 [2 per cell]
Mg  0.500  0.500  0.500 [1 per cell]
V  0.500  0.500  0.000 [1 per cell]

## Properties
- ΔE_f (eV/atom) = 0.163
- volume (Å³/atom) = 26.708
- E above lowest polymorph (eV/f.u.) = 0.00
- mass density (Mg/m³) = 5.844

(6)
DFT (PBE) results for Sm2MgV after structural relaxation.

Unit cell a=3.2716 b=3.2716 c=34.7130 alpha=90.00 beta=90.00 gamma=120.00
Space group R-3m (No. 166, hexagonal axes)
One atom of each set of equivalent atoms:
Sm  0.0000  0.0000  0.0817 [6 per cell]
Mg  0.0000  0.0000  0.5000 [3 per cell]
V  0.0000  0.0000  0.0000 [3 per cell]

## Properties
- ΔE_f (eV/atom) = 0.620
- volume (Å³/atom) = 26.814
- E above lowest polymorph (eV/f.u.) = 1.83
- mass density (Mg/m³) = 5.821

(7)
DFT (PBE) results for SmY3Mg4 after structural relaxation.

Unit cell a=3.806 b=3.806 c=15.317 alpha=90.00 beta=90.00 gamma=90.00
Space group P4/mmm (No. 123)
One atom of each set of equivalent atoms:
Sm  0.000  0.000  0.000 [1 per cell]
Y  0.000  0.000  0.252 [2 per cell]
Y  0.000  0.000  0.500 [1 per cell]
Mg  0.500  0.500  0.128 [2 per cell]
Mg  0.500  0.500  0.376 [2 per cell]

## Properties
- ΔE_f (eV/atom) = -0.106
- volume (Å³/atom) = 27.740
- mass density (Mg/m³) = 3.848

(8)
DFT (PBE) results for SmYMg after structural relaxation.

Unit cell a=3.752 b=3.752 c=12.718 alpha=90.00 beta=90.00 gamma=90.00
Space group I4mm (No. 107)
One atom of each set of equivalent atoms:
Sm  0.000  0.000  0.000 [2 per cell]
Y  0.000  0.000  0.687 [2 per cell]
Mg  0.000  0.000  0.340 [2 per cell]

## Properties
- ΔE_f (eV/atom) = -0.052
- volume (Å³/atom) = 29.838
- E above lowest polymorph (eV/f.u.) = 0.05
- mass density (Mg/m³) = 4.889

(9)
DFT (PBE) results for SmY2Mg6 after structural relaxation.

Unit cell a=9.0874 b=9.0874 c=3.3293 alpha=90.00 beta=90.00 gamma=120.00
Space group P6/mmm (No. 191)
One atom of each set of equivalent atoms:
Sm  0.0000  0.0000  0.0000 [1 per cell]
Y  0.3333  0.6667  0.0000 [2 per cell]
Mg  0.0000  0.3355  0.5000 [6 per cell]

## Properties
- ΔE_f (eV/atom) = -0.086
- volume (Å³/atom) = 26.457
- mass density (Mg/m³) = 3.306

(10)
DFT (PBE) results for SmY4Mg after structural relaxation.

Unit cell a=10.587 b=6.179 c=11.910 alpha=90.00 beta=106.80 gamma=90.00
Space group C2/c (No. 15)
One atom of each set of equivalent atoms:
Sm  0.250  0.250  0.000 [4 per cell]
Y  0.082  0.247  0.501 [8 per cell]
Y  0.167  0.420  0.251 [8 per cell]
Mg  0.000  0.079  0.750 [4 per cell]

## Properties
- ΔE_f (eV/atom) = 0.026
- volume (Å³/atom) = 31.077
- E above lowest polymorph (eV/f.u.) = 0.27
- mass density (Mg/m³) = 4.722

(11)
DFT (PBE) results for SmY3Mg after structural relaxation.

Unit cell a=12.984 b=3.718 c=12.846 alpha=90.00 beta=92.99 gamma=90.00
Space group C2/m (No. 12)
One atom of each set of equivalent atoms:
Sm  0.234  0.000  0.257 [4 per cell]
Y  0.036  0.000  0.687 [4 per cell]
Y  0.135  0.500  0.476 [4 per cell]
Y  0.147  0.000  0.944 [4 per cell]
Mg  0.057  0.500  0.126 [4 per cell]

## Properties
- ΔE_f (eV/atom) = -0.025
- volume (Å³/atom) = 30.965
- E above lowest polymorph (eV/f.u.) = 0.00
- mass density (Mg/m³) = 4.734

(12)
DFT (PBE) results for SmYMg2 after structural relaxation.

Unit cell a=5.397 b=5.397 c=3.838 alpha=90.00 beta=90.00 gamma=90.00
Space group P4/mmm (No. 123)
One atom of each set of equivalent atoms:
Sm  0.000  0.000  0.000 [1 per cell]
Y  0.500  0.500  0.000 [1 per cell]
Mg  0.000  0.500  0.500 [2 per cell]

## Properties
- ΔE_f (eV/atom) = -0.106
- volume (Å³/atom) = 27.943
- E above lowest polymorph (eV/f.u.) = 0.02
- mass density (Mg/m³) = 4.277

(13)
DFT (PBE) results for SmY5Mg after structural relaxation.

Unit cell a=11.832 b=6.579 c=11.919 alpha=90.00 beta=104.02 gamma=90.00
Space group C2/c (No. 15)
One atom of each set of equivalent atoms:
Sm  0.250  0.250  0.000 [4 per cell]
Y  0.000  0.061  0.750 [4 per cell]
Y  0.044  0.248  0.481 [8 per cell]
Y  0.231  0.250  0.289 [8 per cell]
Mg  0.000  0.500  0.250 [4 per cell]

## Properties
- ΔE_f (eV/atom) = 0.154
- volume (Å³/atom) = 32.147
- E above lowest polymorph (eV/f.u.) = 0.00
- mass density (Mg/m³) = 4.569

(14)
DFT (PBE) results for Sm2Y8Mg after structural relaxation.

Unit cell a=19.455 b=5.593 c=6.515 alpha=90.00 beta=94.27 gamma=90.00
Space group C2/m (No. 12)
One atom of each set of equivalent atoms:
Sm  0.242  0.000  0.336 [4 per cell]
Y  0.045  0.000  0.260 [4 per cell]
Y  0.079  0.500  0.598 [4 per cell]
Y  0.152  0.000  0.812 [4 per cell]
Y  0.161  0.500  0.125 [4 per cell]
Mg  0.000  0.500  0.000 [2 per cell]

## Properties
- ΔE_f (eV/atom) = 0.027
- volume (Å³/atom) = 32.131
- E above lowest polymorph (eV/f.u.) = 0.00
- mass density (Mg/m³) = 4.869

(15)
DFT (PBE) results for Sm8YMg2 after structural relaxation.

Unit cell a=8.916 b=15.801 c=5.786 alpha=90.00 beta=117.86 gamma=90.00
Space group C2/m (No. 12)
One atom of each set of equivalent atoms:
Sm  0.000  0.211  0.000 [4 per cell]
Sm  0.088  0.500  0.795 [4 per cell]
Sm  0.211  0.114  0.641 [8 per cell]
Y  0.000  0.000  0.000 [2 per cell]
Mg  0.000  0.307  0.500 [4 per cell]

## Properties
- ΔE_f (eV/atom) = 0.122
- volume (Å³/atom) = 32.755
- E above lowest polymorph (eV/f.u.) = 1.21
- mass density (Mg/m³) = 6.178

(16)
DFT (PBE) results for Sm12Y2Mg after structural relaxation.

Unit cell a=7.179 b=11.536 c=24.590 alpha=90.00 beta=90.00 gamma=90.00
Space group Cmme (No. 67)
One atom of each set of equivalent atoms:
Sm  0.000  0.000  0.074 [8 per cell]
Sm  0.000  0.023  0.439 [8 per cell]
Sm  0.232  0.250  0.587 [8 per cell]
Sm  0.249  0.250  0.126 [8 per cell]
Sm  0.250  0.000  0.196 [8 per cell]
Sm  0.250  0.000  0.324 [8 per cell]
Y  0.000  0.250  0.267 [4 per cell]
Y  0.000  0.250  0.737 [4 per cell]
Mg  0.000  0.250  0.000 [4 per cell]

## Properties
- ΔE_f (eV/atom) = 0.144
- volume (Å³/atom) = 33.940
- mass density (Mg/m³) = 6.544

(17)
DFT (PBE) results for Sm8Y5Mg after structural relaxation.

Unit cell a=10.312 b=10.312 c=8.972 alpha=90.00 beta=90.00 gamma=90.00
Space group I-4 (No. 82)
One atom of each set of equivalent atoms:
Sm  0.002  0.336  0.427 [8 per cell]
Sm  0.163  0.768  0.797 [8 per cell]
Y  0.000  0.000  0.500 [2 per cell]
Y  0.100  0.872  0.144 [8 per cell]
Mg  0.000  0.500  0.750 [2 per cell]

## Properties
- ΔE_f (eV/atom) = 0.249
- volume (Å³/atom) = 34.072
- mass density (Mg/m³) = 5.819

(18)
DFT (PBE) results for SmYMg6 after structural relaxation.

Unit cell a=5.196 b=6.733 c=11.653 alpha=90.00 beta=90.00 gamma=90.00
Space group Amm2 (No. 38)
One atom of each set of equivalent atoms:
Sm  0.000  0.000  0.000 [2 per cell]
Y  0.500  0.000  0.667 [2 per cell]
Mg  0.000  0.000  0.497 [2 per cell]
Mg  0.000  0.245  0.252 [4 per cell]
Mg  0.500  0.000  0.171 [2 per cell]
Mg  0.500  0.243  0.415 [4 per cell]

## Properties
- ΔE_f (eV/atom) = -0.089
- volume (Å³/atom) = 25.480
- mass density (Mg/m³) = 3.137

(19)
DFT (PBE) results for Sm2Y3Mg2 after structural relaxation.

Unit cell a=3.774 b=30.838 c=3.686 alpha=90.00 beta=90.00 gamma=90.00
Space group Cmmm (No. 65)
One atom of each set of equivalent atoms:
Sm  0.000  0.203  0.000 [4 per cell]
Y  0.000  0.079  0.000 [4 per cell]
Y  0.000  0.500  0.500 [2 per cell]
Mg  0.000  0.360  0.500 [4 per cell]

## Properties
- ΔE_f (eV/atom) = 0.035
- volume (Å³/atom) = 30.642
- mass density (Mg/m³) = 4.769

(20)
DFT (PBE) results for Sm8Y6Mg after structural relaxation.

Unit cell a=9.4069 b=9.4069 c=6.4644 alpha=90.00 beta=90.00 gamma=120.00
Space group P-3 (No. 147)
One atom of each set of equivalent atoms:
Sm  0.0386  0.7660  0.1774 [6 per cell]
Sm  0.3333  0.6667  0.1540 [2 per cell]
Y  0.0939  0.6483  0.6694 [6 per cell]
Mg  0.0000  0.0000  0.5000 [1 per cell]

## Properties
- ΔE_f (eV/atom) = 0.134
- volume (Å³/atom) = 33.026
- mass density (Mg/m³) = 5.902

(21)
DFT (PBE) results for Sm2Y6Mg after structural relaxation.

Unit cell a=9.933 b=7.153 c=8.562 alpha=90.00 beta=103.69 gamma=90.00
Space group C2/m (No. 12)
One atom of each set of equivalent atoms:
Sm  0.237  0.000  0.476 [4 per cell]
Y  0.041  0.258  0.708 [8 per cell]
Y  0.178  0.500  0.073 [4 per cell]
Mg  0.000  0.000  0.000 [2 per cell]

## Properties
- ΔE_f (eV/atom) = 0.144
- volume (Å³/atom) = 32.835
- E above lowest polymorph (eV/f.u.) = 1.08
- mass density (Mg/m³) = 4.824